Compound: LaSb
Source: Alexandria
Functional: PBE
Structure: optimized geometry

Cell and atoms, written as POSCAR:
```
LaSb
1.0
2.173 5.975 0.000
-2.173 5.975 0.000
0.000 3.129 7.811
Sb La
3 3
direct
0.795 0.795 0.035 Sb
0.671 0.671 0.684 Sb
0.969 0.969 0.394 Sb
0.252 0.252 0.357 La
0.080 0.080 0.992 La
0.401 0.401 0.704 La
```

Space-group type: No. 8
ρ (kg/m3): 6401
Formation energy from raw total energies (meV per atom): -1088